11
Lattice="5.7323 0.1009 1.7470 0.5957 4.7439 0.7392 0.4883 0.1009 5.9726" Properties=species:S:1:pos:R:3 comment="B2PdF8 PBE relaxed" formation_energy_uncorrected_ev_per_fu=-25.50 rho_g_cm3=2.95 energy_ev_per_atom=-5.365 pbc="T T T"
B 1.4561 1.6189 1.8070
B 5.3601 3.3267 6.6519
Pd 0.0000 0.0000 0.0000
F 4.4821 3.6649 2.0048
F 5.8102 1.2808 3.6530
F 1.4802 3.0595 1.8369
F 5.3360 1.8862 6.6219
F 1.0060 3.6649 4.8058
F 2.3342 1.2808 6.4540
F 2.2467 1.1225 2.7881
F 4.5695 3.8231 5.6707

***

5
Lattice="-4.0765 1.6236 0.7947 -1.7306 -2.9391 -2.8727 -0.5222 -2.9345 3.3169" Properties=species:S:1:pos:R:3 comment="Hf3AsC PBE relaxed" rho_g_cm3=11.66 formation_energy_mev_per_atom=-314.6 energy_ev_per_atom=-9.061 pbc="T T T"
As -3.1646 -2.1249 0.6194
Hf -0.8653 -1.4695 -1.4363
Hf -0.2611 -1.4672 1.6584
Hf -2.0382 0.8118 0.3973
C 0.0000 0.0000 0.0000

***

4
Lattice="-6.2606 1.4917 3.7035 0.6376 -2.3141 -4.1014 -1.4705 -2.5037 1.1874" Properties=species:S:1:pos:R:3 comment="SrRu2W PBE relaxed" rho_g_cm3=11.10 formation_energy_mev_per_atom=732.1 energy_ev_per_atom=-7.565 pbc="T T T"
Ru 0.0000 0.0000 0.0000
Ru -3.8655 -0.5060 2.4455
Sr -0.4164 -2.4089 -1.4570
W -2.8115 -0.4112 -0.1990

***

15
Lattice="2.6490 4.6594 1.6180 -4.4061 -1.8677 2.9058 9.5075 -8.5117 8.9455" Properties=species:S:1:pos:R:3 comment="In4Hg9Pb2 PBE relaxed" rho_g_cm3=10.52 formation_energy_mev_per_atom=17.7 energy_ev_per_atom=-1.388 pbc="T T T"
In 1.1874 -2.5943 5.5267
In 6.5630 -3.1257 7.9426
In 8.4624 -4.8262 9.7297
In -0.7120 -0.8938 3.7395
Hg 2.8644 -2.5644 2.6951
Hg 6.6431 -5.9473 6.2504
Hg 8.5341 -7.6402 8.0296
Hg 0.9734 -0.8715 0.9159
Hg 3.0591 -4.2699 7.2877
Hg 4.6914 -1.4501 6.1816
Hg 0.8234 2.0127 2.5422
Hg 6.9270 -7.7327 10.9270
Hg 4.7538 -4.2558 4.4727
Pb 4.9671 -5.9781 9.0829
Pb 2.7833 0.2581 4.3863

***

18
Lattice="4.9311 0.0000 0.0000 0.0000 4.9311 0.0000 0.0000 0.0000 9.9314" Properties=species:S:1:pos:R:3 comment="ZrBiPdO6 PBE relaxed" formation_energy_uncorrected_ev_per_fu=-13.15 rho_g_cm3=6.91 energy_ev_per_atom=-6.725 pbc="T T T"
Zr 2.4656 2.4656 4.9417
Zr 0.0000 0.0000 9.9074
Bi 2.4656 2.4656 1.6603
Bi 0.0000 0.0000 6.6260
Pd 2.4656 2.4656 8.2864
Pd 0.0000 0.0000 3.3207
O 0.9553 3.9758 4.8485
O 3.9758 0.9553 4.8485
O 1.5103 1.5103 9.8142
O 3.4209 3.4209 9.8142
O 0.8839 4.0472 1.6930
O 4.0472 0.8839 1.6930
O 1.5816 1.5816 6.6587
O 3.3495 3.3495 6.6587
O 3.9053 1.0258 8.3599
O 1.0258 3.9053 8.3599
O 3.4913 3.4913 3.3942
O 1.4398 1.4398 3.3942

***

3
Lattice="-3.7794 -1.6515 1.4990 0.0556 -2.3699 3.6931 1.3579 3.8948 -1.4982" Properties=species:S:1:pos:R:3 comment="BeAsRu PBE relaxed" rho_g_cm3=8.15 formation_energy_mev_per_atom=-180.0 energy_ev_per_atom=-6.064 pbc="T T T"
Ru -2.4868 -2.6856 3.4674
As -0.0088 -0.0095 0.0123
Be -1.2281 -1.3262 1.7123

***

6
Lattice="0.0000 3.6970 3.6970 3.6970 0.0000 3.6970 3.6970 3.6970 0.0000" Properties=species:S:1:pos:R:3 comment="LiRh4Cl PBE relaxed" formation_energy_uncorrected_ev_per_fu=3.21 rho_g_cm3=7.46 energy_ev_per_atom=-4.992 pbc="T T T"
Li 0.0000 0.0000 0.0000
Rh 2.7727 4.6213 4.6213
Rh 4.6213 4.6213 2.7727
Rh 4.6213 2.7727 4.6213
Rh 2.7727 2.7727 2.7727
Cl 5.5455 5.5455 5.5455

***

5
Lattice="6.0513 0.0000 0.0000 0.0000 6.0513 0.0000 0.0000 0.0000 6.0513" Properties=species:S:1:pos:R:3 comment="Ba3FeIr PBE relaxed" rho_g_cm3=4.95 formation_energy_mev_per_atom=530.1 energy_ev_per_atom=-4.088 pbc="T T T"
Ir 0.0000 0.0000 0.0000
Ba 0.0000 3.0257 0.0000
Ba 0.0000 0.0000 3.0257
Ba 3.0257 0.0000 0.0000
Fe 3.0257 3.0257 3.0257

***

5
Lattice="5.2787 0.0000 0.0000 0.0000 5.2787 0.0000 0.0000 0.0000 5.8557" Properties=species:S:1:pos:R:3 comment="HgTe2MoI PBE relaxed" formation_energy_uncorrected_ev_per_fu=1.43 rho_g_cm3=6.91 energy_ev_per_atom=-3.507 pbc="T T T"
I 0.0000 0.0000 2.9279
Mo 0.0000 0.0000 0.0000
Te 0.0000 2.6394 0.0000
Te 2.6394 0.0000 0.0000
Hg 2.6394 2.6394 2.9279

***

4
Lattice="-1.5445 -5.1422 -0.2077 2.8501 -3.5479 -2.8566 2.8834 -3.7747 2.5117" Properties=species:S:1:pos:R:3 comment="LiEuTmCd PBE relaxed" rho_g_cm3=6.66 formation_energy_mev_per_atom=-93.1 energy_ev_per_atom=-4.487 pbc="T T T"
Eu 2.0945 -6.2324 -0.2763
Tm 0.0000 0.0000 0.0000
Li 1.0473 -3.1162 -0.1382
Cd 3.1418 -9.3487 -0.4145

***

5
Lattice="-2.5642 4.5415 -0.2924 -3.9197 -2.3745 -2.5068 -2.3124 -1.0112 4.5734" Properties=species:S:1:pos:R:3 comment="BaHfPt3 PBE relaxed" rho_g_cm3=10.50 formation_energy_mev_per_atom=1598.6 energy_ev_per_atom=-4.401 pbc="T T T"
Hf -4.3981 0.5779 0.8871
Ba 0.0000 0.0000 0.0000
Pt -1.9598 -1.1872 -1.2534
Pt -1.1562 -0.5056 2.2867
Pt -1.2821 2.2708 -0.1462

***

12
Lattice="4.6601 0.0000 0.0000 0.0000 9.3336 0.3885 -2.3301 -2.6402 9.7394" Properties=species:S:1:pos:R:3 comment="La2InTe6Pb3 PBE relaxed" formation_energy_uncorrected_ev_per_fu=-9.26 rho_g_cm3=6.90 energy_ev_per_atom=-4.319 pbc="T T T"
La 2.3301 4.4402 6.7472
La 0.0000 2.2531 3.3808
In 2.3301 0.0000 0.0000
Te 0.0000 6.7392 6.7409
Te 2.3301 4.5754 3.4926
Te 2.3301 -0.0458 3.3870
Te 0.0000 2.3670 0.1976
Te 2.3301 4.3263 9.9304
Te 0.0000 2.1179 6.6354
Pb 2.3301 4.6668 0.1943
Pb 2.3301 -0.3127 6.6561
Pb 0.0000 7.0061 3.4719